[1]
A relaxed structure of Y2ScRh2, computed with PBE.

```
Y2ScRh2
1.0
4.454 0.000 0.000
0.000 4.454 0.000
0.000 0.000 11.943
Y Sc Rh
4 2 4
direct
0.000 0.500 0.250 Y
0.000 0.500 0.750 Y
0.500 0.000 0.250 Y
0.500 0.000 0.750 Y
0.000 0.000 0.000 Sc
0.500 0.500 0.500 Sc
0.000 0.000 0.395 Rh
0.000 0.000 0.605 Rh
0.500 0.500 0.105 Rh
0.500 0.500 0.895 Rh
```

Computed properties:
Volume in Å³/atom: 23.7
ΔE_f in eV/atom: -0.33
Excess energy over the best structure of this formula in the dataset in eV per formula unit: 2.24

[2]
A relaxed structure of YScRh, computed with PBE.

```
YScRh
1.0
4.532 0.000 0.000
-2.266 3.924 0.000
0.000 0.000 3.713
Y Sc Rh
1 1 1
direct
0.000 0.000 0.000 Y
0.333 0.667 0.536 Sc
0.667 0.333 0.333 Rh
```

Computed properties:
Volume in Å³/atom: 22.0
ΔE_f in eV/atom: -0.42
Excess energy over the best structure of this formula in the dataset in eV per formula unit: 0.78